Model 1:
# TiV2Cr2

Crystalline TiV2Cr2 at its relaxed geometry (PBE, Alexandria).

Structure (POSCAR):
```
TiV2Cr2
1.0
2.9751 0.0000 0.0000
0.0000 4.3168 0.0000
-1.4247 0.0000 10.3294
Ti V Cr
2 4 4
Direct
0.1481 0.2500 0.2932
0.8519 0.7500 0.7068
0.0488 0.7500 0.0967
0.2431 0.7500 0.4834
0.7569 0.2500 0.5166
0.9512 0.2500 0.9033
0.3510 0.2500 0.7025
0.4543 0.7500 0.9105
0.5457 0.2500 0.0895
0.6490 0.7500 0.2975
```

***

Model 2:
# TiV2Cr2

Crystalline TiV2Cr2 at its relaxed geometry (PBE, Alexandria).

Structure (POSCAR):
```
TiV2Cr2
1.0
6.8575 0.0000 0.0000
0.0000 6.8575 0.0000
0.0000 0.0000 2.9338
Ti V Cr
2 4 4
Direct
0.0000 0.0000 0.0000
0.5000 0.5000 0.0000
0.1516 0.3484 0.5000
0.3484 0.8484 0.5000
0.6516 0.1516 0.5000
0.8484 0.6516 0.5000
0.1479 0.6479 0.0000
0.3521 0.1479 0.0000
0.6479 0.8521 0.0000
0.8521 0.3521 0.0000
```

***

Model 3:
# TiV2Cr2

Crystalline TiV2Cr2 at its relaxed geometry (PBE, Alexandria).

Structure (POSCAR):
```
TiV2Cr2
1.0
-1.7506 1.7506 11.7375
1.7506 -1.7506 11.7375
1.7506 1.7506 -11.7375
Ti V Cr
2 4 4
Direct
0.1191 0.1191 0.0000
0.8809 0.8809 0.0000
0.0000 0.5000 0.5000
0.3235 0.3235 0.0000
0.5000 0.0000 0.5000
0.6765 0.6765 0.0000
0.2500 0.7500 0.5000
0.4271 0.4271 0.0000
0.5729 0.5729 0.0000
0.7500 0.2500 0.5000
```

***

Which of them is most stable, and which least? Most stable: model 1; least stable: model 3.

***

Model 1:
# TiV2Cr

Crystalline TiV2Cr at its relaxed geometry (PBE, Alexandria).

Structure (POSCAR):
```
TiV2Cr
1.0
4.2521 0.0000 0.0000
0.0000 4.2521 0.0000
0.0000 0.0000 3.0256
Ti V Cr
1 2 1
Direct
0.0000 0.0000 0.0000
0.0000 0.5000 0.5000
0.5000 0.0000 0.5000
0.5000 0.5000 0.0000
```

***

Model 2:
# TiV2Cr

Crystalline TiV2Cr at its relaxed geometry (PBE, Alexandria).

Structure (POSCAR):
```
TiV2Cr
1.0
2.9574 0.0000 0.0000
0.0000 2.9574 0.0000
0.0000 0.0000 6.3149
Ti V Cr
1 2 1
Direct
0.0000 0.0000 0.0000
0.5000 0.5000 0.2780
0.5000 0.5000 0.7220
0.0000 0.0000 0.5000
```

***

Which of them is most stable, and which least? Most stable: model 2; least stable: model 1.